(1)
3
Lattice="3.413 0.000 0.000 0.000 3.413 0.000 -1.707 -1.707 6.609" Properties=species:S:1:pos:R:3 comment="TmMgTl, relaxed, DFT GGA-PBE" dos_at_fermi_per_ev_fu=2.1 energy_ev_per_cell=-8.78 pbc="T T T"
Tl 0.000 0.000 3.679
Tm 1.707 1.707 5.921
Mg 1.707 1.707 1.635

---

(2)
14
Lattice="-1.368 -2.836 -3.262 7.586 1.116 -4.153 3.401 -6.712 4.408" Properties=species:S:1:pos:R:3 comment="TmMg4Tl2, relaxed, DFT GGA-PBE" dos_at_fermi_per_ev_fu=3.6 energy_ev_per_cell=-32.12 pbc="T T T"
Tm -0.684 -1.418 -1.631
Tm 5.494 -2.798 0.128
Mg 1.973 -2.228 1.109
Mg 9.014 -3.367 -0.854
Mg 2.512 -5.301 0.403
Mg 7.106 -3.131 -3.410
Mg 5.211 -6.675 0.466
Mg 4.408 -1.756 -3.473
Mg 3.001 -0.305 -0.994
Mg 7.986 -5.290 1.249
Tl 4.179 -5.257 2.818
Tl 6.809 -0.338 -2.562
Tl 6.851 -5.255 -1.456
Tl 2.768 -3.176 -1.551

---

Please write out number 2 again, unchanged.
14
Lattice="-1.368 -2.836 -3.262 7.586 1.116 -4.153 3.401 -6.712 4.408" Properties=species:S:1:pos:R:3 comment="TmMg4Tl2, relaxed, DFT GGA-PBE" dos_at_fermi_per_ev_fu=3.6 energy_ev_per_cell=-32.12 pbc="T T T"
Tm -0.684 -1.418 -1.631
Tm 5.494 -2.798 0.128
Mg 1.973 -2.228 1.109
Mg 9.014 -3.367 -0.854
Mg 2.512 -5.301 0.403
Mg 7.106 -3.131 -3.410
Mg 5.211 -6.675 0.466
Mg 4.408 -1.756 -3.473
Mg 3.001 -0.305 -0.994
Mg 7.986 -5.290 1.249
Tl 4.179 -5.257 2.818
Tl 6.809 -0.338 -2.562
Tl 6.851 -5.255 -1.456
Tl 2.768 -3.176 -1.551

---

Repeat the first record exactly.
3
Lattice="3.413 0.000 0.000 0.000 3.413 0.000 -1.707 -1.707 6.609" Properties=species:S:1:pos:R:3 comment="TmMgTl, relaxed, DFT GGA-PBE" dos_at_fermi_per_ev_fu=2.1 energy_ev_per_cell=-8.78 pbc="T T T"
Tl 0.000 0.000 3.679
Tm 1.707 1.707 5.921
Mg 1.707 1.707 1.635